# 1
VASP calculation (PBE) on TlSi2Ni after structural relaxation.

abc: 3.852 3.852 6.540
angles: 74.75 74.75 59.71
Sites, in units of the cell vectors:
Ni (0.330, 0.330, 0.006)
Tl (0.503, 0.503, 0.497)
Si (0.697, 0.697, 0.893)
Si (0.969, 0.969, 0.104)

Output
crystal system	monoclinic
space-group type	Cm (8)

=====

# 2
VASP calculation (PBE) on TlSi2Ni after structural relaxation.

abc: 2.960 3.220 7.501
angles: 90.00 90.00 90.00
Sites, in units of the cell vectors:
Tl (0.000, 0.000, 0.532)
Si (0.000, 0.000, 0.966)
Si (0.500, 0.500, 0.162)
Ni (0.500, 0.500, 0.840)

Output
crystal system	orthorhombic
space-group type	Pmm2 (25)

=====

# 3
VASP calculation (PBE) on Tl2SiNi after structural relaxation.

abc: 4.451 4.451 9.509
angles: 76.46 76.46 90.00
Sites, in units of the cell vectors:
Si (0.500, 0.500, 0.000)
Si (0.250, 0.750, 0.500)
Tl (0.875, 0.895, 0.750)
Tl (0.375, 0.355, 0.750)
Tl (0.645, 0.125, 0.250)
Tl (0.105, 0.625, 0.250)
Ni (0.750, 0.250, 0.500)
Ni (0.000, 0.000, 0.000)

Output
relative energy among the computed polymorphs	2.245	eV/f.u.
crystal system	tetragonal
space-group type	I-42d (122)

=====

# 4
VASP calculation (PBE) on Tl2SiNi2 after structural relaxation.

abc: 6.141 6.141 6.141
angles: 130.20 130.20 73.08
Sites, in units of the cell vectors:
Tl (0.250, 0.750, 0.500)
Tl (0.750, 0.250, 0.500)
Si (0.000, 0.000, 0.000)
Ni (0.788, 0.788, 0.000)
Ni (0.212, 0.212, 0.000)

Output
relative energy among the computed polymorphs	0.839	eV/f.u.
crystal system	tetragonal
space-group type	I4/mmm (139)

=====

# 5
VASP calculation (PBE) on Tl2SiNi after structural relaxation.

abc: 5.245 5.245 5.245
angles: 136.86 120.42 76.35
Sites, in units of the cell vectors:
Tl (0.983, 0.983, 0.000)
Tl (0.517, 0.517, 0.000)
Si (0.250, 0.750, 0.500)
Ni (0.750, 0.250, 0.500)

Output
relative energy among the computed polymorphs	1.998	eV/f.u.
crystal system	orthorhombic
space-group type	Immm (71)

=====

# 6
VASP calculation (PBE) on TlSi2Ni after structural relaxation.

abc: 3.992 4.278 4.772
angles: 68.32 90.00 90.00
Sites, in units of the cell vectors:
Tl (0.500, 0.250, 0.250)
Si (0.000, 0.565, 0.605)
Si (0.000, 0.935, 0.895)
Ni (0.500, 0.750, 0.750)

Output
crystal system	monoclinic
space-group type	P2/m (10)

=====

# 7
VASP calculation (PBE) on Tl2SiNi after structural relaxation.

abc: 3.939 4.554 4.554
angles: 90.00 90.00 90.00
Sites, in units of the cell vectors:
Ni (0.500, 0.500, 0.000)
Si (0.500, 0.000, 0.500)
Tl (0.000, 0.000, 0.000)
Tl (0.000, 0.500, 0.500)

Output
relative energy among the computed polymorphs	2.120	eV/f.u.
crystal system	tetragonal
space-group type	P4/mmm (123)

=====

# 8
VASP calculation (PBE) on Tl4SiNi after structural relaxation.

abc: 6.202 6.202 6.202
angles: 60.00 60.00 60.00
Each line ends with the local moment (μB).
Sites, in units of the cell vectors:
Tl (0.875, 0.375, 0.375)  0.00
Tl (0.375, 0.375, 0.375)  0.00
Tl (0.375, 0.875, 0.375)  0.00
Tl (0.375, 0.375, 0.875)  0.00
Si (0.000, 0.000, 0.000)  0.04
Ni (0.750, 0.750, 0.750)  0.63

Output
crystal system	cubic
space-group type	F-43m (216)

=====

# 9
VASP calculation (PBE) on TlSi2Ni after structural relaxation.

abc: 5.004 5.004 5.004
angles: 139.44 117.17 77.51
Sites, in units of the cell vectors:
Tl (0.490, 0.490, 0.000)
Si (0.787, 0.287, 0.500)
Si (0.014, 0.014, 0.000)
Ni (0.209, 0.709, 0.500)

Output
crystal system	orthorhombic
space-group type	Imm2 (44)

=====

# 10
VASP calculation (PBE) on TlSi2Ni after structural relaxation.

abc: 5.885 5.885 5.885
angles: 153.34 130.83 56.81
Sites, in units of the cell vectors:
Tl (0.750, 0.250, 0.500)
Ni (0.250, 0.750, 0.500)
Si (0.051, 0.051, 0.000)
Si (0.449, 0.449, 0.000)

Output
crystal system	orthorhombic
space-group type	Immm (71)

=====

# 11
VASP calculation (PBE) on Tl3SiNi after structural relaxation.

abc: 5.311 5.311 5.311
angles: 90.00 90.00 90.00
Each line ends with the local moment (μB).
Sites, in units of the cell vectors:
Tl (0.000, 0.500, 0.000)  -0.01
Tl (0.500, 0.000, 0.000)  -0.01
Tl (0.000, 0.000, 0.500)  -0.01
Ni (0.500, 0.500, 0.500)  0.59
Si (0.000, 0.000, 0.000)  -0.01

Output
relative energy among the computed polymorphs	1.943	eV/f.u.
crystal system	cubic
space-group type	Pm-3m (221)

=====

# 12
VASP calculation (PBE) on Tl2SiNi after structural relaxation.

abc: 8.197 8.197 8.197
angles: 24.47 24.47 24.47
Sites, in units of the cell vectors:
Tl (0.507, 0.507, 0.507)
Tl (0.993, 0.993, 0.993)
Si (0.750, 0.750, 0.750)
Ni (0.250, 0.250, 0.250)

Output
relative energy among the computed polymorphs	1.783	eV/f.u.
crystal system	trigonal
space-group type	R-3m (166)

=====

Here are the calculated formation energy (no corrections) numbers, same order: -0.11 0.74 2.54 2.07 2.29 0.70 2.41 5.28 1.82 1.37 4.57 2.08 (eV/f.u.).
Here are the calculated D(E_F) numbers, same order: 0.35 0.41 0.54 0.41 0.46 0.43 0.58 1.24 0.33 0.52 0.92 0.42 (states/eV per atom).
Here are the calculated magnetic moment numbers, same order: 0.00 0.00 0.00 0.00 0.00 0.00 0.00 0.73 0.00 0.00 0.45 0.00 (μB per formula unit).